LaUCuS6 (GGA-PBE, optimized geometry); crystal system = trigonal; size of the total moment = 1.67 μB/f.u.; E_form (uncorrected) = -0.93 eV/atom
1.0
6.263 0.000 0.000
-3.131 5.424 0.000
0.000 0.000 6.536
La U Cu S
1 1 1 6
Direct
0.000 0.000 0.000
0.333 0.667 0.500
0.667 0.333 0.500
0.372 0.012 0.730
0.372 0.360 0.270
0.640 0.012 0.270
0.640 0.628 0.730
0.988 0.360 0.730
0.988 0.628 0.270